Below is crystalline Th4HgPd at its relaxed geometry, with properties calculated at the PBE level.

```
data_Th4HgPd
_chemical_formula_sum 'Th8 Hg2 Pd2'
_cell_length_a 5.912
_cell_length_b 7.558
_cell_length_c 7.558
_cell_angle_alpha 90.00
_cell_angle_beta 90.00
_cell_angle_gamma 90.00
_symmetry_space_group_name_H-M 'P 1'
_symmetry_Int_Tables_number 1
_symmetry_space_group_name_Hall 'P 1'
loop_
_atom_site_label
_atom_site_fract_x
_atom_site_fract_y
_atom_site_fract_z
Th1 0.500 0.835 0.649
Th2 0.500 0.649 0.165
Th3 0.500 0.351 0.835
Th4 0.000 0.165 0.649
Th5 0.000 0.351 0.165
Th6 0.000 0.835 0.351
Th7 0.500 0.165 0.351
Th8 0.000 0.649 0.835
Pd1 0.750 0.500 0.500
Pd2 0.250 0.500 0.500
Hg1 0.250 0.000 0.000
Hg2 0.750 0.000 0.000
```

Computed properties:
**SG**: P4/mcc (124)
**Calculated formation energy**: -315 meV per atom
**Magnetization**: 0.000 μB/f.u.

=====

Below is crystalline Th2Hg2Pd5 at its relaxed geometry, with properties calculated at the PBE level.

```
data_Th2Hg2Pd5
_chemical_formula_sum 'Th4 Hg4 Pd10'
_cell_length_a 7.469
_cell_length_b 6.873
_cell_length_c 9.271
_cell_angle_alpha 111.76
_cell_angle_beta 113.75
_cell_angle_gamma 90.00
_symmetry_space_group_name_H-M 'P 1'
_symmetry_Int_Tables_number 1
_symmetry_space_group_name_Hall 'P 1'
loop_
_atom_site_label
_atom_site_fract_x
_atom_site_fract_y
_atom_site_fract_z
Pd1 0.812 0.264 0.980
Pd2 0.324 0.017 0.327
Pd3 0.503 0.517 0.327
Pd4 0.676 0.691 0.673
Pd5 0.668 0.764 0.980
Pd6 0.934 0.600 0.500
Pd7 0.497 0.191 0.673
Pd8 0.066 0.100 0.500
Pd9 0.188 0.284 0.020
Pd10 0.332 0.784 0.020
Hg1 0.281 0.440 0.500
Hg2 0.500 0.439 0.000
Hg3 0.719 0.940 0.500
Hg4 0.000 0.939 0.000
Th1 0.953 0.433 0.764
Th2 0.047 0.668 0.236
Th3 0.311 0.933 0.764
Th4 0.689 0.168 0.236
```

Computed properties:
**SG**: Ima2 (46)
**Calculated formation energy**: -449 meV per atom
**Magnetization**: 0.000 μB/f.u.

=====

Below is crystalline ThHg2Pd6 at its relaxed geometry, with properties calculated at the PBE level.

```
data_ThHg2Pd6
_chemical_formula_sum 'Th1 Hg2 Pd6'
_cell_length_a 3.087
_cell_length_b 8.198
_cell_length_c 8.198
_cell_angle_alpha 56.60
_cell_angle_beta 79.15
_cell_angle_gamma 79.15
_symmetry_space_group_name_H-M 'P 1'
_symmetry_Int_Tables_number 1
_symmetry_space_group_name_Hall 'P 1'
loop_
_atom_site_label
_atom_site_fract_x
_atom_site_fract_y
_atom_site_fract_z
Pd1 0.827 0.497 0.850
Pd2 0.000 0.175 0.825
Pd3 0.173 0.150 0.503
Pd4 0.173 0.503 0.150
Pd5 0.827 0.850 0.497
Pd6 0.000 0.825 0.175
Th1 0.500 0.500 0.500
Hg1 0.650 0.850 0.850
Hg2 0.350 0.150 0.150
```

Computed properties:
**SG**: Immm (71)
**Calculated formation energy**: -247 meV per atom
**Magnetization**: 0.000 μB/f.u.

=====

Below is crystalline ThTlHgPd at its relaxed geometry, with properties calculated at the PBE level.

```
data_ThTlHgPd
_chemical_formula_sum 'Th1 Tl1 Hg1 Pd1'
_cell_length_a 5.125
_cell_length_b 5.125
_cell_length_c 5.125
_cell_angle_alpha 60.00
_cell_angle_beta 60.00
_cell_angle_gamma 60.00
_symmetry_space_group_name_H-M 'P 1'
_symmetry_Int_Tables_number 1
_symmetry_space_group_name_Hall 'P 1'
loop_
_atom_site_label
_atom_site_fract_x
_atom_site_fract_y
_atom_site_fract_z
Tl1 0.250 0.250 0.250
Pd1 0.000 0.000 0.000
Hg1 0.500 0.500 0.500
Th1 0.750 0.750 0.750
```

Computed properties:
**SG**: F-43m (216)
**Calculated formation energy**: -356 meV per atom
**Magnetization**: 0.000 μB/f.u.

=====

Below is crystalline TmThHgPd at its relaxed geometry, with properties calculated at the PBE level.

```
data_TmThHgPd
_chemical_formula_sum 'Tm1 Th1 Hg1 Pd1'
_cell_length_a 5.186
_cell_length_b 5.186
_cell_length_c 5.186
_cell_angle_alpha 60.00
_cell_angle_beta 60.00
_cell_angle_gamma 60.00
_symmetry_space_group_name_H-M 'P 1'
_symmetry_Int_Tables_number 1
_symmetry_space_group_name_Hall 'P 1'
loop_
_atom_site_label
_atom_site_fract_x
_atom_site_fract_y
_atom_site_fract_z
Tm1 0.750 0.750 0.750
Pd1 0.000 0.000 0.000
Hg1 0.500 0.500 0.500
Th1 0.250 0.250 0.250
```

Computed properties:
**SG**: F-43m (216)
**Calculated formation energy**: -492 meV per atom
**Magnetization**: 0.000 μB/f.u.

=====

Below is crystalline ThZrHgPd at its relaxed geometry, with properties calculated at the PBE level.

```
data_ThZrHgPd
_chemical_formula_sum 'Th1 Zr1 Hg1 Pd1'
_cell_length_a 5.099
_cell_length_b 5.099
_cell_length_c 5.099
_cell_angle_alpha 60.00
_cell_angle_beta 60.00
_cell_angle_gamma 60.00
_symmetry_space_group_name_H-M 'P 1'
_symmetry_Int_Tables_number 1
_symmetry_space_group_name_Hall 'P 1'
loop_
_atom_site_label
_atom_site_fract_x
_atom_site_fract_y
_atom_site_fract_z
Pd1 0.000 0.000 0.000
Hg1 0.500 0.500 0.500
Th1 0.250 0.250 0.250
Zr1 0.750 0.750 0.750
```

Computed properties:
**SG**: F-43m (216)
**Calculated formation energy**: -260 meV per atom
**Magnetization**: 0.004 μB/f.u.

=====

Below is crystalline TiHgPd3 at its relaxed geometry, with properties calculated at the PBE level.

```
data_TiHgPd3
_chemical_formula_sum 'Ti2 Hg2 Pd6'
_cell_length_a 4.576
_cell_length_b 4.576
_cell_length_c 8.878
_cell_angle_alpha 90.00
_cell_angle_beta 90.00
_cell_angle_gamma 110.81
_symmetry_space_group_name_H-M 'P 1'
_symmetry_Int_Tables_number 1
_symmetry_space_group_name_Hall 'P 1'
loop_
_atom_site_label
_atom_site_fract_x
_atom_site_fract_y
_atom_site_fract_z
Hg1 0.781 0.444 0.750
Hg2 0.444 0.781 0.250
Pd1 0.081 0.191 0.250
Pd2 0.313 0.635 0.567
Pd3 0.635 0.313 0.067
Pd4 0.313 0.635 0.933
Pd5 0.191 0.081 0.750
Pd6 0.635 0.313 0.433
Ti1 0.920 0.920 0.500
Ti2 0.920 0.920 0.000
```

Computed properties:
**SG**: Ama2 (40)
**Calculated formation energy**: -272 meV per atom
**Energy relative to the lowest polymorph listed for this composition**: 0.000 eV/f.u.
**Magnetization**: 0.000 μB/f.u.

=====

Below is crystalline Ti4HgPd4 at its relaxed geometry, with properties calculated at the PBE level.

```
data_Ti4HgPd4
_chemical_formula_sum 'Ti4 Hg1 Pd4'
_cell_length_a 3.985
_cell_length_b 6.390
_cell_length_c 6.390
_cell_angle_alpha 84.42
_cell_angle_beta 71.83
_cell_angle_gamma 71.83
_symmetry_space_group_name_H-M 'P 1'
_symmetry_Int_Tables_number 1
_symmetry_space_group_name_Hall 'P 1'
loop_
_atom_site_label
_atom_site_fract_x
_atom_site_fract_y
_atom_site_fract_z
Pd1 0.328 0.000 0.345
Pd2 0.672 0.655 0.000
Pd3 0.328 0.345 0.000
Pd4 0.672 0.000 0.655
Ti1 0.000 0.334 0.666
Ti2 0.334 0.666 0.666
Ti3 0.666 0.334 0.334
Ti4 0.000 0.666 0.334
Hg1 0.000 0.000 0.000
```

Computed properties:
**SG**: I4/mmm (139)
**Calculated formation energy**: -390 meV per atom
**Magnetization**: 0.000 μB/f.u.

=====

Below is crystalline TiHg2Pd at its relaxed geometry, with properties calculated at the PBE level.

```
data_TiHg2Pd
_chemical_formula_sum 'Ti2 Hg4 Pd2'
_cell_length_a 7.615
_cell_length_b 7.615
_cell_length_c 6.094
_cell_angle_alpha 51.33
_cell_angle_beta 51.33
_cell_angle_gamma 90.00
_symmetry_space_group_name_H-M 'P 1'
_symmetry_Int_Tables_number 1
_symmetry_space_group_name_Hall 'P 1'
loop_
_atom_site_label
_atom_site_fract_x
_atom_site_fract_y
_atom_site_fract_z
Ti1 0.500 0.500 0.000
Ti2 0.250 0.750 0.500
Pd1 0.750 0.250 0.500
Pd2 0.000 0.000 0.000
Hg1 0.120 0.625 0.250
Hg2 0.375 0.370 0.750
Hg3 0.875 0.880 0.750
Hg4 0.630 0.125 0.250
```

Computed properties:
**SG**: I-42d (122)
**Calculated formation energy**: 215 meV per atom
**Energy relative to the lowest polymorph listed for this composition**: 1.298 eV/f.u.
**Magnetization**: 1.275 μB/f.u.

=====

Below is crystalline TiHgPd2 at its relaxed geometry, with properties calculated at the PBE level.

```
data_TiHgPd2
_chemical_formula_sum 'Ti2 Hg2 Pd4'
_cell_length_a 7.237
_cell_length_b 7.237
_cell_length_c 5.846
_cell_angle_alpha 51.76
_cell_angle_beta 51.76
_cell_angle_gamma 90.00
_symmetry_space_group_name_H-M 'P 1'
_symmetry_Int_Tables_number 1
_symmetry_space_group_name_Hall 'P 1'
loop_
_atom_site_label
_atom_site_fract_x
_atom_site_fract_y
_atom_site_fract_z
Ti1 0.500 0.500 0.000
Ti2 0.250 0.750 0.500
Pd1 0.375 0.411 0.750
Pd2 0.589 0.125 0.250
Pd3 0.161 0.625 0.250
Pd4 0.875 0.839 0.750
Hg1 0.000 0.000 0.000
Hg2 0.750 0.250 0.500
```

Computed properties:
**SG**: I-42d (122)
**Calculated formation energy**: -69 meV per atom
**Magnetization**: 0.000 μB/f.u.

=====

Below is crystalline Ti2HgPd6 at its relaxed geometry, with properties calculated at the PBE level.

```
data_Ti2HgPd6
_chemical_formula_sum 'Ti2 Hg1 Pd6'
_cell_length_a 3.941
_cell_length_b 4.883
_cell_length_c 8.585
_cell_angle_alpha 72.64
_cell_angle_beta 76.73
_cell_angle_gamma 66.20
_symmetry_space_group_name_H-M 'P 1'
_symmetry_Int_Tables_number 1
_symmetry_space_group_name_Hall 'P 1'
loop_
_atom_site_label
_atom_site_fract_x
_atom_site_fract_y
_atom_site_fract_z
Pd1 0.666 0.725 0.944
Pd2 0.333 0.949 0.386
Pd3 0.994 0.181 0.831
Pd4 0.667 0.051 0.614
Pd5 0.006 0.819 0.169
Pd6 0.334 0.275 0.056
Hg1 0.000 0.500 0.500
Ti1 0.314 0.624 0.747
Ti2 0.686 0.376 0.253
```

Computed properties:
**SG**: C2/m (12)
**Calculated formation energy**: -467 meV per atom
**Magnetization**: 0.000 μB/f.u.

=====

Below is crystalline Ti6HgPd5 at its relaxed geometry, with properties calculated at the PBE level.

```
data_Ti6HgPd5
_chemical_formula_sum 'Ti6 Hg1 Pd5'
_cell_length_a 8.930
_cell_length_b 4.008
_cell_length_c 6.348
_cell_angle_alpha 71.46
_cell_angle_beta 81.76
_cell_angle_gamma 63.33
_symmetry_space_group_name_H-M 'P 1'
_symmetry_Int_Tables_number 1
_symmetry_space_group_name_Hall 'P 1'
loop_
_atom_site_label
_atom_site_fract_x
_atom_site_fract_y
_atom_site_fract_z
Ti1 0.256 0.575 0.339
Ti2 0.256 0.914 0.661
Ti3 0.738 0.762 0.000
Ti4 0.744 0.086 0.339
Ti5 0.262 0.238 0.000
Ti6 0.744 0.425 0.661
Pd1 0.500 0.500 0.000
Pd2 0.500 0.833 0.334
Pd3 0.000 0.331 0.337
Pd4 0.500 0.167 0.666
Pd5 0.000 0.669 0.663
Hg1 0.000 0.000 0.000
```

Computed properties:
**SG**: P2/m (10)
**Calculated formation energy**: -420 meV per atom
**Magnetization**: 0.010 μB/f.u.